GGA+U Cs2CoH12S2O14, optimized geometry; final energy = -0.392 Ry per atom; magnetization = 6.0 μB/cell
1.0
6.464 0.029 0.000
-2.702 8.937 0.000
0.000 0.000 12.960
Cs Co H S O
4 2 24 4 28
direct
0.852 0.631 0.856 Cs
0.148 0.869 0.356 Cs
0.148 0.369 0.144 Cs
0.852 0.131 0.644 Cs
0.500 0.500 0.500 Co
0.500 0.000 0.000 Co
0.820 0.711 0.599 H
0.180 0.789 0.099 H
0.180 0.289 0.401 H
0.820 0.211 0.901 H
0.590 0.737 0.628 H
0.410 0.763 0.128 H
0.410 0.263 0.372 H
0.590 0.237 0.872 H
0.424 0.222 0.597 H
0.576 0.278 0.097 H
0.576 0.778 0.403 H
0.424 0.722 0.903 H
0.481 0.348 0.684 H
0.519 0.152 0.184 H
0.519 0.652 0.316 H
0.481 0.848 0.816 H
0.829 0.396 0.437 H
0.171 0.104 0.937 H
0.171 0.604 0.563 H
0.829 0.896 0.063 H
0.805 0.519 0.358 H
0.195 0.981 0.858 H
0.195 0.481 0.642 H
0.805 0.019 0.142 H
0.240 0.897 0.647 S
0.760 0.603 0.147 S
0.760 0.103 0.353 S
0.240 0.397 0.853 S
0.113 0.920 0.738 O
0.887 0.580 0.238 O
0.887 0.080 0.262 O
0.113 0.420 0.762 O
0.297 0.033 0.581 O
0.703 0.467 0.081 O
0.703 0.967 0.419 O
0.297 0.533 0.919 O
0.103 0.769 0.584 O
0.897 0.731 0.084 O
0.897 0.231 0.416 O
0.103 0.269 0.916 O
0.440 0.860 0.682 O
0.560 0.640 0.182 O
0.560 0.140 0.318 O
0.440 0.360 0.818 O
0.664 0.661 0.611 O
0.336 0.839 0.111 O
0.336 0.339 0.389 O
0.664 0.161 0.889 O
0.508 0.328 0.610 O
0.492 0.172 0.110 O
0.492 0.672 0.390 O
0.508 0.828 0.890 O
0.788 0.491 0.433 O
0.212 0.009 0.933 O
0.212 0.509 0.567 O
0.788 0.991 0.067 O